Entry 1:
A plane-wave DFT calculation with PBE was carried out for a relaxed structure of LaSbPd.

Unit cell a=4.653 b=4.653 c=8.157 alpha=90.00 beta=90.00 gamma=120.00
Fractional positions:
Sb 0.333 0.667 0.234
La 0.000 0.000 0.497
Sb 0.667 0.333 0.734
La 0.000 0.000 0.997
Pd 0.333 0.667 0.779
Pd 0.667 0.333 0.279

Values from the calculation:
SG	P6_3mc
calculated volume	25.5	Å³ per atom
DOS(E_F)	0.795	states/eV/cell
calculated total energy	-5.896	eV per atom
formation energy without anion corrections	-1.15	eV per atom
mass density	7.971	g cm⁻³

=====

Entry 2:
A plane-wave DFT calculation with PBE was carried out for a relaxed structure of LaSb2Pd3.

Unit cell a=4.393 b=9.066 c=10.501 alpha=106.26 beta=90.00 gamma=104.02
Fractional positions:
La 0.158 0.316 0.703
Pd 0.500 0.000 0.500
Pd 0.045 0.091 0.342
Pd 0.671 0.343 0.962
Pd 0.785 0.570 0.615
Pd 0.378 0.756 0.806
Sb 0.801 0.602 0.879
Sb 0.533 0.066 0.778
Pd 0.329 0.657 0.038
Sb 0.467 0.934 0.222
Pd 0.622 0.244 0.194
Pd 0.215 0.430 0.385
Sb 0.199 0.398 0.121
Sb 0.359 0.718 0.546
La 0.842 0.684 0.297
Pd 0.955 0.909 0.658
Sb 0.641 0.282 0.454
La 0.000 0.000 0.000

Values from the calculation:
SG	C2/m
calculated volume	21.6	Å³ per atom
DOS(E_F)	8.779	states/eV/cell
calculated total energy	-5.618	eV per atom
formation energy without anion corrections	-0.83	eV per atom
mass density	8.998	g cm⁻³

=====

Entry 3:
A plane-wave DFT calculation with PBE was carried out for a relaxed structure of LaSbPd.

Unit cell a=4.868 b=4.868 c=7.742 alpha=90.00 beta=90.00 gamma=120.00
Fractional positions:
Pd 0.333 0.667 0.473
Pd 0.667 0.333 0.527
Sb 0.333 0.667 0.038
La 0.000 0.000 0.281
Sb 0.667 0.333 0.962
La 0.000 0.000 0.719

Values from the calculation:
SG	P-3m1
calculated volume	26.5	Å³ per atom
DOS(E_F)	2.268	states/eV/cell
calculated total energy	-5.344	eV per atom
formation energy without anion corrections	-0.60	eV per atom
mass density	7.673	g cm⁻³

=====

Entry 4:
A plane-wave DFT calculation with PBE was carried out for a relaxed structure of LaSb2Pd8.

Unit cell a=6.405 b=6.405 c=5.562 alpha=90.00 beta=90.00 gamma=90.00
Fractional positions:
Pd 0.784 0.784 0.256
La 0.500 0.500 0.500
Pd 0.216 0.216 0.744
Pd 0.784 0.216 0.256
Pd 0.216 0.784 0.256
Pd 0.784 0.216 0.744
Sb 0.000 0.500 0.000
Sb 0.500 0.000 0.000
Pd 0.784 0.784 0.744
Pd 0.216 0.216 0.256
Pd 0.216 0.784 0.744

Values from the calculation:
SG	P4/mmm
calculated volume	20.7	Å³ per atom
DOS(E_F)	5.007	states/eV/cell
calculated total energy	-5.281	eV per atom
formation energy without anion corrections	-0.31	eV per atom
mass density	8.978	g cm⁻³

=====

Entry 5:
A plane-wave DFT calculation with PBE was carried out for a relaxed structure of La2Sb2Pd.

Unit cell a=7.456 b=7.456 c=4.928 alpha=90.00 beta=90.00 gamma=90.00
Fractional positions:
La 0.170 0.670 0.500
La 0.330 0.170 0.500
Sb 0.642 0.142 0.000
Pd 0.000 0.000 0.000
Pd 0.500 0.500 0.000
La 0.670 0.830 0.500
La 0.830 0.330 0.500
Sb 0.858 0.642 0.000
Sb 0.142 0.358 0.000
Sb 0.358 0.858 0.000

Values from the calculation:
SG	P4/mbm
calculated volume	27.4	Å³ per atom
DOS(E_F)	8.098	states/eV/cell
calculated total energy	-5.546	eV per atom
formation energy without anion corrections	-0.89	eV per atom
mass density	7.609	g cm⁻³

=====

Entry 6:
A plane-wave DFT calculation with PBE was carried out for a relaxed structure of LaSb3Pd.

Unit cell a=5.262 b=5.262 c=5.262 alpha=90.00 beta=90.00 gamma=90.00
Fractional positions:
Pd 0.000 0.000 0.000
La 0.500 0.500 0.500
Sb 0.500 0.000 0.000
Sb 0.000 0.000 0.500
Sb 0.000 0.500 0.000

Values from the calculation:
SG	Pm-3m
calculated volume	29.1	Å³ per atom
DOS(E_F)	4.096	states/eV/cell
calculated total energy	-4.810	eV per atom
formation energy without anion corrections	-0.31	eV per atom
mass density	6.960	g cm⁻³